Record 1
Here is crystalline ThPN3 at its relaxed geometry from OQMD. Energies are from PBE.

## Properties
The magnetization comes out at 0.00 μB/f.u. As for the total energy: -85.3 eV/cell.

```
ThPN3
1.0
4.123 0.000 0.000
0.000 5.449 0.000
-1.838 0.000 6.272
Th P N
2 2 6
direct
0.123 0.250 0.288 Th
0.877 0.750 0.712 Th
0.499 0.250 0.772 P
0.501 0.750 0.228 P
0.127 0.750 0.085 N
0.334 0.003 0.664 N
0.334 0.497 0.664 N
0.666 0.503 0.336 N
0.666 0.997 0.336 N
0.873 0.250 0.915 N
```

Record 2
Here is crystalline YTmNi8B2 at its relaxed geometry from OQMD. Energies are from PBE.

## Properties
The value obtained for the energy relative to the lowest polymorph listed for this composition is 13.2 meV per atom. The magnetization comes out at 0.00 μB/f.u. As for the total energy: -74.7 eV/cell.

```
YTmNi8B2
1.0
4.983 0.000 0.000
-2.491 4.315 0.000
0.000 0.000 6.967
Y Tm Ni B
1 1 8 2
direct
0.000 0.000 0.000 Y
0.000 0.000 0.500 Tm
0.000 0.500 0.209 Ni
0.000 0.500 0.791 Ni
0.333 0.667 0.500 Ni
0.500 0.000 0.209 Ni
0.500 0.000 0.791 Ni
0.500 0.500 0.209 Ni
0.500 0.500 0.791 Ni
0.667 0.333 0.500 Ni
0.333 0.667 0.000 B
0.667 0.333 0.000 B
```

Record 3
Here is crystalline SmTe2O4 at its relaxed geometry from OQMD. Energies are from PBE.

## Properties
The magnetization comes out at 0.00 μB/f.u. As for the total energy: -81.0 eV/cell.

```
SmTe2O4
1.0
-3.453 3.453 4.490
3.453 -3.453 4.490
3.453 3.453 -4.490
Sm Te O
2 4 8
direct
0.375 0.625 0.750 Sm
0.625 0.375 0.250 Sm
0.000 0.000 0.000 Te
0.000 0.000 0.500 Te
0.000 0.500 0.000 Te
0.500 0.000 0.500 Te
0.074 0.650 0.424 O
0.273 0.350 0.924 O
0.350 0.273 0.424 O
0.350 0.926 0.076 O
0.650 0.074 0.924 O
0.650 0.727 0.576 O
0.727 0.650 0.076 O
0.926 0.350 0.576 O
```

Record 4
Here is crystalline Rb2TcO3 at its relaxed geometry from OQMD. Energies are from PBE.

## Properties
The value obtained for the energy relative to the lowest polymorph listed for this composition is 86.3 meV per atom. The magnetization comes out at 0.92 μB/f.u. As for the total energy: -70.3 eV/cell.

```
Rb2TcO3
1.0
5.136 -3.636 0.000
5.136 3.636 0.000
0.000 0.000 5.886
Rb Tc O
4 2 6
direct
0.019 0.318 0.250 Rb
0.318 0.019 0.750 Rb
0.682 0.981 0.250 Rb
0.981 0.682 0.750 Rb
0.413 0.587 0.250 Tc
0.587 0.413 0.750 Tc
0.159 0.841 0.250 O
0.381 0.381 0.000 O
0.381 0.381 0.500 O
0.619 0.619 0.000 O
0.619 0.619 0.500 O
0.841 0.159 0.750 O
```